Here is FeWO4 after structural relaxation from Alexandria via LeMat-Bulk. Energies are from PBE+U.

abc: 4.832 5.714 10.449
angles: 90.00 90.00 90.00
Space group Pbcn (No. 60)
Unique sites:
Fe (0.000, 0.000, 0.000) [4 per cell]
W (0.000, 0.341, 0.250) [4 per cell]
O (0.181, 0.283, 0.093) [8 per cell]
O (0.242, 0.052, 0.318) [8 per cell]

Results
As for the volume: 12.0 A^3/atom. For the final energy, the calculation gives -7.26 eV per atom.